Compound: LiTbSn
Source: Alexandria via LeMat-Bulk
Functional: PBE
Structure: relaxed

Results
As for the formation energy: -127 kJ/mol of formula units. The value obtained for the calculated volume is 345.1 Å³/cell. The value obtained for the magnetic moment is 0.0 Bohr magnetons per cell. For the energy, the calculation gives -3.955 eV/atom.

Lattice parameters (Å, degrees): 7.0144 7.0144 7.0144 90.00 90.00 90.00
Positions (direct):
Li 0.0000 0.0000 0.0000
Li 0.0000 0.5000 0.5000
Li 0.5000 0.0000 0.5000
Li 0.5000 0.5000 0.0000
Tb 0.0000 0.0000 0.5000
Tb 0.0000 0.5000 0.0000
Tb 0.5000 0.0000 0.0000
Tb 0.5000 0.5000 0.5000
Sn 0.2500 0.2500 0.7500
Sn 0.2500 0.7500 0.2500
Sn 0.7500 0.2500 0.2500
Sn 0.7500 0.7500 0.7500

Compound: Li3Tb2Sn2
Source: Alexandria via LeMat-Bulk
Functional: PBE
Structure: relaxed

Results
The value obtained for the density of states at the Fermi level is 0.43 states/eV per atom. As for the formation energy: -320 kJ/mol of formula units. The value obtained for the calculated volume is 320.8 Å³/cell. The value obtained for the magnetic moment is 0.0 Bohr magnetons per cell. For the energy, the calculation gives -3.760 eV/atom.

Lattice parameters (Å, degrees): 10.6300 4.7982 6.4730 90.00 103.69 90.00
Positions (direct):
Li 0.0000 0.0000 0.0000
Li 0.1078 0.0000 0.4301
Li 0.3922 0.5000 0.5699
Li 0.5000 0.5000 0.0000
Li 0.6078 0.5000 0.4301
Li 0.8922 0.0000 0.5699
Tb 0.1475 0.5000 0.7605
Tb 0.3525 0.0000 0.2395
Tb 0.6475 0.0000 0.7605
Tb 0.8525 0.5000 0.2395
Sn 0.1541 0.5000 0.2491
Sn 0.3459 0.0000 0.7509
Sn 0.6541 0.0000 0.2491
Sn 0.8459 0.5000 0.7509

Compound: Li2TbSn
Source: Alexandria via LeMat-Bulk
Functional: PBE
Structure: relaxed

Results
The value obtained for the density of states at the Fermi level is 0.61 states/eV per atom. As for the formation energy: -131 kJ/mol of formula units. The value obtained for the calculated volume is 94.0 Å³/cell. The value obtained for the magnetic moment is 0.0 Bohr magnetons per cell. For the energy, the calculation gives -3.455 eV/atom.

Lattice parameters (Å, degrees): 4.3984 4.3984 4.8607 90.00 90.00 90.00
Positions (direct):
Li 0.0000 0.5000 0.0000
Li 0.5000 0.0000 0.0000
Tb 0.0000 0.0000 0.5000
Sn 0.5000 0.5000 0.5000

Compound: Li3TbSn6
Source: Alexandria via LeMat-Bulk
Functional: PBE
Structure: relaxed

Results
The value obtained for the density of states at the Fermi level is 0.41 states/eV per atom. As for the formation energy: -323 kJ/mol of formula units. The value obtained for the calculated volume is 469.6 Å³/cell. The value obtained for the magnetic moment is 0.0 Bohr magnetons per cell. For the energy, the calculation gives -3.774 eV/atom.

Lattice parameters (Å, degrees): 10.1800 4.4864 10.2828 90.00 90.24 90.00
Positions (direct):
Li 0.0606 0.2500 0.3979
Li 0.1510 0.7500 0.2026
Li 0.2488 0.2500 0.0016
Li 0.7512 0.7500 0.9984
Li 0.8490 0.2500 0.7974
Li 0.9394 0.7500 0.6021
Tb 0.4294 0.2500 0.6212
Tb 0.5706 0.7500 0.3788
Sn 0.0250 0.7500 0.8999
Sn 0.1218 0.2500 0.6911
Sn 0.2361 0.7500 0.4887
Sn 0.3198 0.7500 0.8203
Sn 0.3390 0.2500 0.2957
Sn 0.4416 0.7500 0.0994
Sn 0.5584 0.2500 0.9006
Sn 0.6610 0.7500 0.7043
Sn 0.6802 0.2500 0.1797
Sn 0.7639 0.2500 0.5113
Sn 0.8782 0.7500 0.3089
Sn 0.9750 0.2500 0.1001

Compound: LiTbSn3
Source: Alexandria via LeMat-Bulk
Functional: PBE
Structure: relaxed

Results
The value obtained for the density of states at the Fermi level is 0.57 states/eV per atom. As for the formation energy: -199 kJ/mol of formula units. The value obtained for the calculated volume is 496.6 Å³/cell. The value obtained for the magnetic moment is 0.0 Bohr magnetons per cell. For the energy, the calculation gives -4.122 eV/atom.

Lattice parameters (Å, degrees): 13.0315 6.1572 6.1895 90.00 90.00 90.00
Positions (direct):
Li 0.1082 0.2500 0.0000
Li 0.1082 0.2500 0.5000
Li 0.8918 0.7500 0.0000
Li 0.8918 0.7500 0.5000
Tb 0.3107 0.0037 0.2500
Tb 0.3107 0.4963 0.7500
Tb 0.6893 0.5037 0.2500
Tb 0.6893 0.9963 0.7500
Sn 0.0818 0.6817 0.7500
Sn 0.0818 0.8183 0.2500
Sn 0.2651 0.0008 0.7500
Sn 0.2651 0.4992 0.2500
Sn 0.4974 0.7500 0.0000
Sn 0.4974 0.7500 0.5000
Sn 0.5026 0.2500 0.0000
Sn 0.5026 0.2500 0.5000
Sn 0.7349 0.5008 0.7500
Sn 0.7349 0.9992 0.2500
Sn 0.9182 0.1817 0.7500
Sn 0.9182 0.3183 0.2500

Compound: Li2TbSn9
Source: Alexandria via LeMat-Bulk
Functional: PBE
Structure: relaxed

Results
The value obtained for the density of states at the Fermi level is 0.46 states/eV per atom. As for the formation energy: -274 kJ/mol of formula units. The value obtained for the calculated volume is 304.4 Å³/cell. The value obtained for the magnetic moment is 0.0 Bohr magnetons per cell. For the energy, the calculation gives -3.944 eV/atom.

Lattice parameters (Å, degrees): 4.6180 4.6180 14.2731 90.00 90.00 90.00
Positions (direct):
Li 0.0000 0.0000 0.1660
Li 0.0000 0.0000 0.8340
Tb 0.0000 0.0000 0.5000
Sn 0.0000 0.5000 0.0000
Sn 0.0000 0.5000 0.3273
Sn 0.0000 0.5000 0.6727
Sn 0.5000 0.0000 0.0000
Sn 0.5000 0.0000 0.3273
Sn 0.5000 0.0000 0.6727
Sn 0.5000 0.5000 0.1631
Sn 0.5000 0.5000 0.5000
Sn 0.5000 0.5000 0.8369

Compound: Li4Tb3Sn4
Source: Alexandria via LeMat-Bulk
Functional: PBE
Structure: relaxed

Results
The value obtained for the density of states at the Fermi level is 0.28 states/eV per atom. As for the formation energy: -657 kJ/mol of formula units. The value obtained for the calculated volume is 247.4 Å³/cell. The value obtained for the magnetic moment is 0.0 Bohr magnetons per cell. For the energy, the calculation gives -4.034 eV/atom.

Lattice parameters (Å, degrees): 8.6609 8.6609 8.6609 149.19 131.47 58.59
Positions (direct):
Li 0.0165 0.8268 0.1897
Li 0.3628 0.1732 0.1897
Li 0.6372 0.8268 0.8103
Li 0.9835 0.1732 0.8103
Tb 0.0000 0.5000 0.5000
Tb 0.3726 0.3726 0.0000
Tb 0.6274 0.6274 0.0000
Sn 0.2147 0.7147 0.5000
Sn 0.2980 0.0000 0.2980
Sn 0.7020 0.0000 0.7020
Sn 0.7853 0.2853 0.5000

Compound: LiTb2SnTe4
Source: Alexandria via LeMat-Bulk
Functional: PBE
Structure: relaxed

Results
The value obtained for the density of states at the Fermi level is 0.39 states/eV per atom. The value obtained for the calculated volume is 243.0 Å³/cell. The formation energy (no corrections) comes out at -1.01 eV per atom. The value obtained for the magnetic moment is 0.0 Bohr magnetons per cell. For the energy, the calculation gives -4.474 eV/atom.

Lattice parameters (Å, degrees): 7.5331 4.3605 7.8064 90.00 108.64 90.00
Positions (direct):
Li 0.0000 0.0000 0.0000
Tb 0.0000 0.5000 0.5000
Tb 0.5000 0.0000 0.5000
Sn 0.5000 0.5000 0.0000
Te 0.2430 0.0000 0.7501
Te 0.2455 0.5000 0.2495
Te 0.7545 0.5000 0.7505
Te 0.7570 0.0000 0.2499

Compound: LiTbSnTe3
Source: Alexandria via LeMat-Bulk
Functional: PBE
Structure: relaxed

Results
The value obtained for the calculated volume is 370.5 Å³/cell. The formation energy (no corrections) comes out at -0.88 eV per atom. The value obtained for the magnetic moment is 0.0 Bohr magnetons per cell. For the energy, the calculation gives -4.207 eV/atom.

Lattice parameters (Å, degrees): 9.2040 4.2433 9.6915 90.00 101.80 90.00
Positions (direct):
Li 0.0901 0.2500 0.0888
Li 0.9099 0.7500 0.9112
Tb 0.1716 0.2500 0.7265
Tb 0.8284 0.7500 0.2735
Sn 0.3370 0.7500 0.3353
Sn 0.6630 0.2500 0.6647
Te 0.0890 0.2500 0.3803
Te 0.2185 0.7500 0.9751
Te 0.4026 0.7500 0.6564
Te 0.5974 0.2500 0.3436
Te 0.7815 0.2500 0.0249
Te 0.9110 0.7500 0.6197

Compound: Li2TbSnTe4
Source: Alexandria via LeMat-Bulk
Functional: PBE
Structure: relaxed

Results
The value obtained for the density of states at the Fermi level is 0.25 states/eV per atom. The value obtained for the calculated volume is 229.1 Å³/cell. The formation energy (no corrections) comes out at -0.88 eV per atom. The value obtained for the magnetic moment is 0.0 Bohr magnetons per cell. For the energy, the calculation gives -4.004 eV/atom.

Lattice parameters (Å, degrees): 7.4556 4.3062 7.5859 90.00 109.87 90.00
Positions (direct):
Li 0.0000 0.0000 0.0000
Li 0.0000 0.5000 0.5000
Tb 0.5000 0.0000 0.5000
Sn 0.5000 0.5000 0.0000
Te 0.2407 0.0000 0.7468
Te 0.2429 0.5000 0.2441
Te 0.7571 0.5000 0.7559
Te 0.7593 0.0000 0.2532

Which value of calculated volume does entry 9 give? 370.5 Å³/cell

Among the records above, which one has the highest energy? Li2TbSn